# BaMn2Ni | the Alexandria database | PBE | optimized geometry
data_BaMn2Ni
_chemical_formula_sum 'Ba1 Mn2 Ni1'
_cell_length_a 4.1446
_cell_length_b 3.7773
_cell_length_c 6.4416
_cell_angle_alpha 73.17
_cell_angle_beta 90.00
_cell_angle_gamma 90.00
_space_group_name_H-M_alt 'P 1'
_space_group_IT_number 1
loop_
_space_group_symop_operation_xyz
'x,y,z'
loop_
_atom_site_label
_atom_site_fract_x
_atom_site_fract_y
_atom_site_fract_z
Ni1 0.0000 0.3552 0.4153
Mn1 0.5000 0.4509 0.2201
Mn2 0.0000 0.9780 0.1663
Ba1 0.5000 0.7160 0.6983
# E_form (kJ/mol of formula units): 190
# Excess energy over the best structure of this formula in the dataset (eV/atom): 0.234
# SG: Pm, No. 6
# D(E_F) (states/eV/atom): 0.91

=====

# Th6Co2CS3 | the Alexandria database | PBE | optimized geometry
data_Th6Co2CS3
_chemical_formula_sum 'Th6 Co2 C1 S3'
_cell_length_a 3.8355
_cell_length_b 8.2704
_cell_length_c 9.2447
_cell_angle_alpha 104.33
_cell_angle_beta 101.97
_cell_angle_gamma 90.00
_space_group_name_H-M_alt 'P 1'
_space_group_IT_number 1
loop_
_space_group_symop_operation_xyz
'x,y,z'
loop_
_atom_site_label
_atom_site_fract_x
_atom_site_fract_y
_atom_site_fract_z
S1 0.8327 0.1665 0.6655
S2 0.5000 0.5000 0.0000
S3 0.1673 0.8335 0.3345
C1 0.5000 0.0000 0.0000
Co1 0.8360 0.6699 0.6720
Co2 0.1640 0.3301 0.3280
Th1 0.6572 0.0983 0.3143
Th2 0.9996 0.7798 0.9992
Th3 0.3428 0.9017 0.6857
Th4 0.3319 0.4413 0.6638
Th5 0.0004 0.2202 0.0008
Th6 0.6681 0.5587 0.3362
# SG: C2/m, No. 12
# Formation energy (no corrections) (eV per atom): -1.03
# D(E_F) (states/eV/atom): 0.84

=====

# NdLu2V | the Alexandria database | PBE | optimized geometry
data_NdLu2V
_chemical_formula_sum 'Nd1 Lu2 V1'
_cell_length_a 3.5416
_cell_length_b 3.5416
_cell_length_c 8.6665
_cell_angle_alpha 90.00
_cell_angle_beta 90.00
_cell_angle_gamma 90.00
_space_group_name_H-M_alt 'P 1'
_space_group_IT_number 1
loop_
_space_group_symop_operation_xyz
'x,y,z'
loop_
_atom_site_label
_atom_site_fract_x
_atom_site_fract_y
_atom_site_fract_z
Nd1 0.5000 0.5000 0.5000
V1 0.5000 0.5000 0.0000
Lu1 0.0000 0.0000 0.8058
Lu2 0.0000 0.0000 0.1942
# E_form (kJ/mol of formula units): 68
# SG: P4/mmm, No. 123
# D(E_F) (states/eV/atom): 0.95

=====

# SnHgAu2 | the Alexandria database | PBE | optimized geometry
data_SnHgAu2
_chemical_formula_sum 'Sn2 Hg2 Au4'
_cell_length_a 7.9585
_cell_length_b 7.9585
_cell_length_c 6.3395
_cell_angle_alpha 51.12
_cell_angle_beta 51.12
_cell_angle_gamma 90.00
_space_group_name_H-M_alt 'P 1'
_space_group_IT_number 1
loop_
_space_group_symop_operation_xyz
'x,y,z'
loop_
_atom_site_label
_atom_site_fract_x
_atom_site_fract_y
_atom_site_fract_z
Au1 0.3750 0.3861 0.7500
Au2 0.6139 0.1250 0.2500
Au3 0.8750 0.8639 0.7500
Au4 0.1361 0.6250 0.2500
Hg1 0.0000 0.0000 0.0000
Hg2 0.7500 0.2500 0.5000
Sn1 0.5000 0.5000 0.0000
Sn2 0.2500 0.7500 0.5000
# E_form (kJ/mol of formula units): 15
# Excess energy over the best structure of this formula in the dataset (eV/atom): 0.096
# SG: I-42d, No. 122
# D(E_F) (states/eV/atom): 0.30

=====

# Na5B7C3 | the Alexandria database | PBE | optimized geometry
data_Na5B7C3
_chemical_formula_sum 'Na10 B14 C6'
_cell_length_a 2.8941
_cell_length_b 2.8941
_cell_length_c 42.7157
_cell_angle_alpha 90.00
_cell_angle_beta 90.00
_cell_angle_gamma 120.00
_space_group_name_H-M_alt 'P 1'
_space_group_IT_number 1
loop_
_space_group_symop_operation_xyz
'x,y,z'
loop_
_atom_site_label
_atom_site_fract_x
_atom_site_fract_y
_atom_site_fract_z
C1 0.3333 0.6667 0.6527
C2 0.6667 0.3333 0.9473
C3 0.3333 0.6667 0.2509
C4 0.3333 0.6667 0.8491
C5 0.6667 0.3333 0.3491
C6 0.6667 0.3333 0.7509
Na1 0.0000 0.0000 0.2013
Na2 0.0000 0.0000 0.8983
Na3 0.0000 0.0000 0.0991
Na4 0.0000 0.0000 0.7017
Na5 0.0000 0.0000 0.3000
Na6 0.0000 0.0000 0.5009
Na7 0.0000 0.0000 0.9970
Na8 0.0000 0.0000 0.8000
Na9 0.0000 0.0000 0.6030
Na10 0.0000 0.0000 0.3987
B1 0.3333 0.6667 0.1504
B2 0.6667 0.3333 0.5522
B3 0.6667 0.3333 0.0478
B4 0.6667 0.3333 0.4496
B5 0.3333 0.6667 0.3492
B6 0.6667 0.3333 0.8491
B7 0.6667 0.3333 0.6526
B8 0.3333 0.6667 0.9474
B9 0.3333 0.6667 0.5522
B10 0.3333 0.6667 0.4496
B11 0.3333 0.6667 0.7509
B12 0.6667 0.3333 0.2508
B13 0.3333 0.6667 0.0478
B14 0.6667 0.3333 0.1504
# E_form (kJ/mol of formula units): 226
# Excess energy over the best structure of this formula in the dataset (eV/atom): 0.043
# SG: P-3m1, No. 164
# D(E_F) (states/eV/atom): 0.26

=====

# Ca4PrDy3Te8 | the Alexandria database | PBE | optimized geometry
data_Ca4PrDy3Te8
_chemical_formula_sum 'Ca4 Pr1 Dy3 Te8'
_cell_length_a 8.8256
_cell_length_b 8.9620
_cell_length_c 8.8254
_cell_angle_alpha 119.50
_cell_angle_beta 120.00
_cell_angle_gamma 90.00
_space_group_name_H-M_alt 'P 1'
_space_group_IT_number 1
loop_
_space_group_symop_operation_xyz
'x,y,z'
loop_
_atom_site_label
_atom_site_fract_x
_atom_site_fract_y
_atom_site_fract_z
Te1 0.2533 0.7489 0.5066
Te2 0.7468 0.2508 0.0040
Te3 0.7428 0.7492 0.9960
Te4 0.7479 0.7442 0.4958
Te5 0.2532 0.7492 0.9960
Te6 0.2521 0.2558 0.5042
Te7 0.2572 0.2508 0.0040
Te8 0.7467 0.2511 0.4934
Dy1 0.5000 0.5000 0.5000
Dy2 0.5000 0.5000 0.0000
Dy3 0.0000 0.5000 0.5000
Ca1 0.0000 0.0000 0.0000
Ca2 0.5000 0.0000 0.5000
Ca3 0.5000 0.0000 0.0000
Ca4 0.0000 0.0000 0.5000
Pr1 0.0000 0.5000 0.0000
# SG: R-3m, No. 166
# Formation energy (no corrections) (eV per atom): -1.47
# D(E_F) (states/eV/atom): 0.38

=====

# Si2MoAs | the Alexandria database | PBE | optimized geometry
data_Si2MoAs
_chemical_formula_sum 'Si2 Mo1 As1'
_cell_length_a 4.6936
_cell_length_b 4.6936
_cell_length_c 4.4072
_cell_angle_alpha 86.40
_cell_angle_beta 86.40
_cell_angle_gamma 38.78
_space_group_name_H-M_alt 'P 1'
_space_group_IT_number 1
loop_
_space_group_symop_operation_xyz
'x,y,z'
loop_
_atom_site_label
_atom_site_fract_x
_atom_site_fract_y
_atom_site_fract_z
Mo1 0.2442 0.2442 0.2459
Si1 0.9849 0.9849 0.0111
Si2 0.7540 0.7540 0.7592
As1 0.5169 0.5169 0.4839
# SG: Cm, No. 8
# Formation energy (no corrections) (eV per atom): 0.14
# D(E_F) (states/eV/atom): 0.50

=====

# AgSe2S2Br2 | the Alexandria database | PBE | optimized geometry
data_AgSe2S2Br2
_chemical_formula_sum 'Ag1 Se2 S2 Br2'
_cell_length_a 4.5553
_cell_length_b 7.7284
_cell_length_c 6.1813
_cell_angle_alpha 65.41
_cell_angle_beta 68.38
_cell_angle_gamma 72.86
_space_group_name_H-M_alt 'P 1'
_space_group_IT_number 1
loop_
_space_group_symop_operation_xyz
'x,y,z'
loop_
_atom_site_label
_atom_site_fract_x
_atom_site_fract_y
_atom_site_fract_z
Se1 0.1741 0.4130 0.2389
Se2 0.8259 0.5870 0.7611
S1 0.2437 0.6593 0.8532
S2 0.7563 0.3407 0.1468
Br1 0.5840 0.1484 0.6835
Br2 0.4160 0.8516 0.3165
Ag1 0.0000 0.0000 0.0000
# SG: C2/m, No. 12
# Formation energy (no corrections) (eV per atom): 0.06
# D(E_F) (states/eV/atom): 0.41

=====

# Ca2WAu | the Alexandria database | PBE | optimized geometry
data_Ca2WAu
_chemical_formula_sum 'Ca2 W1 Au1'
_cell_length_a 5.0498
_cell_length_b 5.0498
_cell_length_c 5.0498
_cell_angle_alpha 60.00
_cell_angle_beta 60.00
_cell_angle_gamma 60.00
_space_group_name_H-M_alt 'P 1'
_space_group_IT_number 1
loop_
_space_group_symop_operation_xyz
'x,y,z'
loop_
_atom_site_label
_atom_site_fract_x
_atom_site_fract_y
_atom_site_fract_z
Ca1 0.2500 0.2500 0.2500
Ca2 0.0000 0.0000 0.0000
Au1 0.5000 0.5000 0.5000
W1 0.7500 0.7500 0.7500
# E_form (kJ/mol of formula units): 244
# Excess energy over the best structure of this formula in the dataset (eV/atom): 0.334
# SG: F-43m, No. 216
# D(E_F) (states/eV/atom): 0.51

=====

# Pr3Bi2N | the Alexandria database | PBE | optimized geometry
data_Pr3Bi2N
_chemical_formula_sum 'Pr12 Bi8 N4'
_cell_length_a 4.1499
_cell_length_b 7.9109
_cell_length_c 22.5978
_cell_angle_alpha 90.00
_cell_angle_beta 90.00
_cell_angle_gamma 90.00
_space_group_name_H-M_alt 'P 1'
_space_group_IT_number 1
loop_
_space_group_symop_operation_xyz
'x,y,z'
loop_
_atom_site_label
_atom_site_fract_x
_atom_site_fract_y
_atom_site_fract_z
Pr1 0.2500 0.5595 0.3130
Pr2 0.7500 0.4002 0.8630
Pr3 0.2500 0.0998 0.3630
Pr4 0.2500 0.6784 0.9755
Pr5 0.2500 0.0595 0.1870
Pr6 0.7500 0.8216 0.4755
Pr7 0.7500 0.9405 0.8130
Pr8 0.7500 0.4405 0.6870
Pr9 0.2500 0.5998 0.1370
Pr10 0.2500 0.1784 0.5245
Pr11 0.7500 0.9002 0.6370
Pr12 0.7500 0.3216 0.0245
Bi1 0.7500 0.4025 0.4167
Bi2 0.2500 0.5975 0.5833
Bi3 0.2500 0.1340 0.7174
Bi4 0.2500 0.0975 0.9167
Bi5 0.7500 0.8660 0.2826
Bi6 0.7500 0.3660 0.2174
Bi7 0.7500 0.9025 0.0833
Bi8 0.2500 0.6340 0.7826
N1 0.2500 0.9605 0.4482
N2 0.7500 0.0395 0.5518
N3 0.2500 0.4605 0.0518
N4 0.7500 0.5395 0.9482
# Excess energy over the best structure of this formula in the dataset (eV/atom): 0.000
# SG: Pnma, No. 62
# Formation energy (no corrections) (eV per atom): -0.96
# D(E_F) (states/eV/atom): 0.18

=====

# SrBe3In | the Alexandria database | PBE | optimized geometry
data_SrBe3In
_chemical_formula_sum 'Sr1 Be3 In1'
_cell_length_a 5.5426
_cell_length_b 5.5426
_cell_length_c 5.5426
_cell_angle_alpha 90.00
_cell_angle_beta 90.00
_cell_angle_gamma 90.00
_space_group_name_H-M_alt 'P 1'
_space_group_IT_number 1
loop_
_space_group_symop_operation_xyz
'x,y,z'
loop_
_atom_site_label
_atom_site_fract_x
_atom_site_fract_y
_atom_site_fract_z
Be1 0.5000 0.0000 0.0000
Be2 0.0000 0.5000 0.0000
Be3 0.0000 0.0000 0.5000
Sr1 0.0000 0.0000 0.0000
In1 0.5000 0.5000 0.5000
# E_form (kJ/mol of formula units): 937
# Excess energy over the best structure of this formula in the dataset (eV/atom): 1.199
# SG: Pm-3m, No. 221
# D(E_F) (states/eV/atom): 1.46

=====

# Li8DyZn4 | the Alexandria database | PBE | optimized geometry
data_Li8DyZn4
_chemical_formula_sum 'Li8 Dy1 Zn4'
_cell_length_a 5.2619
_cell_length_b 7.0682
_cell_length_c 7.0682
_cell_angle_alpha 82.04
_cell_angle_beta 68.15
_cell_angle_gamma 68.15
_space_group_name_H-M_alt 'P 1'
_space_group_IT_number 1
loop_
_space_group_symop_operation_xyz
'x,y,z'
loop_
_atom_site_label
_atom_site_fract_x
_atom_site_fract_y
_atom_site_fract_z
Dy1 0.0000 0.0000 0.0000
Li1 0.5000 0.2189 0.7811
Li2 0.2811 0.2189 0.2189
Li3 0.5000 0.7811 0.2189
Li4 0.0000 0.3477 0.6523
Li5 0.3477 0.6523 0.6523
Li6 0.0000 0.6523 0.3477
Li7 0.6523 0.3477 0.3477
Li8 0.7189 0.7811 0.7811
Zn1 0.5000 0.0000 0.5000
Zn2 0.0000 0.5000 0.0000
Zn3 0.5000 0.5000 0.0000
Zn4 0.0000 0.0000 0.5000
# E_form (kJ/mol of formula units): -145
# SG: I4/mmm, No. 139
# D(E_F) (states/eV/atom): 0.39

=====

Please write out number 12 again, unchanged.
# Li8DyZn4 | the Alexandria database | PBE | optimized geometry
data_Li8DyZn4
_chemical_formula_sum 'Li8 Dy1 Zn4'
_cell_length_a 5.2619
_cell_length_b 7.0682
_cell_length_c 7.0682
_cell_angle_alpha 82.04
_cell_angle_beta 68.15
_cell_angle_gamma 68.15
_space_group_name_H-M_alt 'P 1'
_space_group_IT_number 1
loop_
_space_group_symop_operation_xyz
'x,y,z'
loop_
_atom_site_label
_atom_site_fract_x
_atom_site_fract_y
_atom_site_fract_z
Dy1 0.0000 0.0000 0.0000
Li1 0.5000 0.2189 0.7811
Li2 0.2811 0.2189 0.2189
Li3 0.5000 0.7811 0.2189
Li4 0.0000 0.3477 0.6523
Li5 0.3477 0.6523 0.6523
Li6 0.0000 0.6523 0.3477
Li7 0.6523 0.3477 0.3477
Li8 0.7189 0.7811 0.7811
Zn1 0.5000 0.0000 0.5000
Zn2 0.0000 0.5000 0.0000
Zn3 0.5000 0.5000 0.0000
Zn4 0.0000 0.0000 0.5000
# E_form (kJ/mol of formula units): -145
# SG: I4/mmm, No. 139
# D(E_F) (states/eV/atom): 0.39

=====

Q: D(E_F) of number 12 (Li8DyZn4)?
A: 0.39 states/eV/atom